i.
{"formula": "HfPaRe2", "functional": "PBE", "state": "optimized geometry", "space_group": "Fm-3m", "cell": [[-3.7450, 1.2123, -2.6884], [-1.9334, -3.1878, -2.9702], [-4.3000, -1.8306, 0.9386]], "species": ["Hf", "Re", "Re", "Pa"], "fractional_positions": [[0.5000, 0.5000, 0.5000], [0.7500, 0.7500, 0.7500], [0.2500, 0.2500, 0.2500], [0.0000, 0.0000, 0.0000]]}

=====

ii.
{"formula": "HfPaRe2", "functional": "PBE", "state": "optimized geometry", "space_group": "P4/mmm", "cell": [[3.3560, 0.0000, 0.0000], [0.0000, 4.7785, 0.0000], [0.0000, 0.0000, 4.7785]], "species": ["Re", "Re", "Pa", "Hf"], "fractional_positions": [[0.0000, 0.0000, 0.5000], [0.0000, 0.5000, 0.0000], [0.5000, 0.0000, 0.0000], [0.5000, 0.5000, 0.5000]]}

=====

Least stable = i